# PBE-GGA ErVZn2, relaxed
# - crystal system = trigonal
# - VASP energy (eV per atom) = -3.797
# - magnetic moment (μB per atom) = 0.28
# - E_form (eV per formula unit) = 1.040
data_ErVZn2
_cell_length_a 3.0853
_cell_length_b 3.0853
_cell_length_c 27.1613
_cell_angle_alpha 90.00
_cell_angle_beta 90.00
_cell_angle_gamma 120.00
_space_group_name_H-M_alt 'R -3 m'
_space_group_IT_number 166
_space_group_name_Hall '-R 3 2"'
loop_
_atom_site_label
_atom_site_fract_x
_atom_site_fract_y
_atom_site_fract_z
Er1 0.0000 0.0000 0.0000
V1 0.0000 0.0000 0.5000
Zn1 0.0000 0.0000 0.2410



# PBE-GGA ErZrV4, relaxed
# - crystal system = cubic
# - VASP energy (eV per atom) = -8.051
# - magnetic moment (μB per atom) = 0.00
# - E_form (eV per formula unit) = 1.281
data_ErZrV4
_cell_length_a 7.4537
_cell_length_b 7.4537
_cell_length_c 7.4537
_cell_angle_alpha 90.00
_cell_angle_beta 90.00
_cell_angle_gamma 90.00
_space_group_name_H-M_alt 'F -4 3 m'
_space_group_IT_number 216
_space_group_name_Hall 'F -4 2 3'
loop_
_atom_site_label
_atom_site_fract_x
_atom_site_fract_y
_atom_site_fract_z
Er1 0.0000 0.0000 0.0000
Zr1 0.2500 0.2500 0.2500
V1 0.1253 0.1253 0.6253



# PBE-GGA Er2ZrV, relaxed
# - crystal system = trigonal
# - VASP energy (eV per atom) = -6.331
# - magnetic moment (μB per atom) = 0.60
# - E_form (eV per formula unit) = 1.470
data_Er2ZrV
_cell_length_a 3.3173
_cell_length_b 3.3173
_cell_length_c 30.3914
_cell_angle_alpha 90.00
_cell_angle_beta 90.00
_cell_angle_gamma 120.00
_space_group_name_H-M_alt 'R -3 m'
_space_group_IT_number 166
_space_group_name_Hall '-R 3 2"'
loop_
_atom_site_label
_atom_site_fract_x
_atom_site_fract_y
_atom_site_fract_z
Er1 0.0000 0.0000 0.2429
Zr1 0.0000 0.0000 0.0000
V1 0.0000 0.0000 0.5000



# PBE-GGA ErW4, relaxed
# - crystal system = cubic
# - VASP energy (eV per atom) = -8.068
# - magnetic moment (μB per atom) = 0.00
# - E_form (eV per formula unit) = 16.034
data_ErW4
_cell_length_a 4.6839
_cell_length_b 4.6839
_cell_length_c 4.6839
_cell_angle_alpha 90.00
_cell_angle_beta 90.00
_cell_angle_gamma 90.00
_space_group_name_H-M_alt 'P m -3 m'
_space_group_IT_number 221
_space_group_name_Hall '-P 4 2 3'
loop_
_atom_site_label
_atom_site_fract_x
_atom_site_fract_y
_atom_site_fract_z
Er1 0.0000 0.0000 0.0000
W1 0.0000 0.0000 0.5000
W2 0.5000 0.5000 0.5000



# PBE-GGA YEr2W, relaxed
# - crystal system = trigonal
# - VASP energy (eV per atom) = -6.660
# - magnetic moment (μB per atom) = 0.00
# - E_form (eV per formula unit) = 1.901
data_YEr2W
_cell_length_a 4.9633
_cell_length_b 4.9633
_cell_length_c 14.0470
_cell_angle_alpha 90.00
_cell_angle_beta 90.00
_cell_angle_gamma 120.00
_space_group_name_H-M_alt 'R -3 m'
_space_group_IT_number 166
_space_group_name_Hall '-R 3 2"'
loop_
_atom_site_label
_atom_site_fract_x
_atom_site_fract_y
_atom_site_fract_z
Y1 0.0000 0.0000 0.0000
Er1 0.0000 0.0000 0.2334
W1 0.0000 0.0000 0.5000



# PBE-GGA ErZrW4, relaxed
# - crystal system = cubic
# - VASP energy (eV per atom) = -10.831
# - magnetic moment (μB per atom) = 0.00
# - E_form (eV per formula unit) = -0.063
data_ErZrW4
_cell_length_a 7.7314
_cell_length_b 7.7314
_cell_length_c 7.7314
_cell_angle_alpha 90.00
_cell_angle_beta 90.00
_cell_angle_gamma 90.00
_space_group_name_H-M_alt 'F -4 3 m'
_space_group_IT_number 216
_space_group_name_Hall 'F -4 2 3'
loop_
_atom_site_label
_atom_site_fract_x
_atom_site_fract_y
_atom_site_fract_z
Er1 0.0000 0.0000 0.0000
Zr1 0.2500 0.2500 0.2500
W1 0.1252 0.1252 0.6252